YTe2I2 | PBE | optimized geometry

a b c (Å): 4.081 4.081 23.996
angles (deg): 90.00 90.00 90.00
Space group I4/mmm (No. 139)
Symmetry-distinct sites (fractional):
Y1 0.000 0.000 0.000
Te1 0.000 0.500 0.250
I1 0.000 0.000 0.424

crystal system = tetragonal
E_form (uncorrected) = -0.534 eV per atom
energy relative to the lowest polymorph listed for this composition = 0 meV/atom

---

CaHI | PBE | optimized geometry

a b c (Å): 11.003 7.279 4.044
angles (deg): 90.00 90.01 90.00
Space group Cm (No. 8)
Symmetry-distinct sites (fractional):
Ca1 0.000 0.000 0.000
Ca2 0.097 0.500 0.501
H1 0.004 0.205 0.501
I1 0.244 0.251 0.001

crystal system = monoclinic

---

LiCa | PBE | optimized geometry

a b c (Å): 4.063 13.796 6.861
angles (deg): 90.00 90.00 90.00
Space group Imm2 (No. 44)
Symmetry-distinct sites (fractional):
Li1 0.000 0.000 0.000
Li2 0.000 0.393 0.281
Ca1 0.000 0.000 0.474
Ca2 0.000 0.294 0.723

crystal system = orthorhombic
DFT formation energy = 0.07 eV per atom
energy relative to the lowest polymorph listed for this composition = 55 meV/atom

---

Ac2SmHg | PBE | optimized geometry

a b c (Å): 3.965 3.965 9.336
angles (deg): 90.00 90.00 90.00
Space group P4/mmm (No. 123)
Symmetry-distinct sites (fractional):
Ac1 0.000 0.000 0.223
Sm1 0.500 0.500 0.500
Hg1 0.500 0.500 0.000

crystal system = tetragonal
DFT formation energy = -0.21 eV per atom
energy relative to the lowest polymorph listed for this composition = 0 meV/atom

---

AgPbBr | PBE | optimized geometry

a b c (Å): 3.666 3.666 11.804
angles (deg): 90.00 90.00 90.00
Space group I4mm (No. 107)
Symmetry-distinct sites (fractional):
Ag1 0.000 0.000 0.000
Pb1 0.000 0.000 0.644
Br1 0.000 0.000 0.357

crystal system = tetragonal
E_form (uncorrected) = -0.139 eV per atom
energy relative to the lowest polymorph listed for this composition = 27 meV/atom

---

CeZrRh6 | PBE | optimized geometry

a b c (Å): 5.145 6.930 7.663
angles (deg): 90.06 90.07 98.80
Space group P-1 (No. 2)
Symmetry-distinct sites (fractional):
Ce1 0.000 0.000 0.000
Ce2 0.500 0.500 0.000
Zr1 0.000 0.500 0.500
Zr2 0.500 0.000 0.500
Rh1 0.042 0.103 0.648
Rh2 0.059 0.596 0.151
Rh3 0.249 0.250 0.316
Rh4 0.251 0.751 0.784
Rh5 0.441 0.903 0.150
Rh6 0.457 0.397 0.649

crystal system = triclinic
DFT formation energy = -0.43 eV per atom

---

Number 1: energy -3.70 eV/atom. Number 2: energy -3.14 eV/atom. Number 3: energy -1.89 eV/atom. Number 4: energy -3.52 eV/atom. Number 5: energy -2.88 eV/atom. Number 6: energy -7.76 eV/atom.